Record 1
The following is a DFT calculation (PBE) of Be3CrGa after structural relaxation.

Unit cell a=4.025 b=4.025 c=4.025 alpha=90.00 beta=90.00 gamma=90.00
Fractional positions:
Be 0.000 0.000 0.500
Be 0.000 0.500 0.000
Be 0.500 0.000 0.000
Cr 0.500 0.500 0.500
Ga 0.000 0.000 0.000

Computed properties:
Formation energy (eV/atom): 1.248
E above lowest polymorph (meV per atom): 19
N(E_F) (states/eV/f.u.): 6.68
Total energy (eV/atom): -3.517


Record 2
The following is a DFT calculation (PBE) of BeCrGa2 after structural relaxation.

Unit cell a=3.744 b=3.744 c=3.688 alpha=90.00 beta=90.00 gamma=90.00
Fractional positions:
Be 0.000 0.000 0.000
Cr 0.500 0.500 0.000
Ga 0.000 0.500 0.500
Ga 0.500 0.000 0.500

Computed properties:
Formation energy (eV/atom): 0.041
N(E_F) (states/eV/f.u.): 1.23
Total energy (eV/atom): -4.810


Record 3
The following is a DFT calculation (PBE) of Be2Cr2Ga after structural relaxation.

Unit cell a=5.905 b=5.905 c=3.094 alpha=90.00 beta=90.00 gamma=90.00
Fractional positions:
Be 0.120 0.380 0.000
Be 0.380 0.880 0.000
Be 0.620 0.120 0.000
Be 0.880 0.620 0.000
Cr 0.174 0.674 0.500
Cr 0.326 0.174 0.500
Cr 0.674 0.826 0.500
Cr 0.826 0.326 0.500
Ga 0.000 0.000 0.000
Ga 0.500 0.500 0.000

Computed properties:
Formation energy (eV/atom): 0.001
N(E_F) (states/eV/f.u.): 1.62
Total energy (eV/atom): -5.944